Record 1
A geometry-optimized La3YSn structure. Source: the Alexandria database, functional PBE.

Space-group type: Pm-3m
Formation energy from the elements: 102 kJ/mol of formula units
DOS at the Fermi energy: 10.7 states/eV per cell

Lattice parameters (Å, degrees): 6.107 6.107 6.107 90.00 90.00 90.00
Positions (direct):
La 0.000 0.000 0.500
La 0.000 0.500 0.000
La 0.500 0.000 0.000
Y 0.500 0.500 0.500
Sn 0.000 0.000 0.000


Record 2
A geometry-optimized Ce2HCl3 structure. Source: the Alexandria database, functional PBE.

Space-group type: C2/m
Raw total energy: -5.078 eV/atom
DOS at the Fermi energy: 26.4 states/eV per cell

Lattice parameters (Å, degrees): 8.197 8.197 10.569 116.33 116.33 28.50
Positions (direct):
Ce 0.096 0.096 0.453
Ce 0.363 0.363 0.203
Ce 0.637 0.637 0.797
Ce 0.904 0.904 0.547
H 0.074 0.074 0.660
H 0.926 0.926 0.340
Cl 0.159 0.159 0.006
Cl 0.268 0.268 0.378
Cl 0.450 0.450 0.761
Cl 0.550 0.550 0.239
Cl 0.732 0.732 0.622
Cl 0.841 0.841 0.994


Record 3
A geometry-optimized Co2TeAuN structure. Source: the Alexandria database, functional PBE.

Space-group type: P4/mmm
Raw total energy: -4.348 eV/atom
DOS at the Fermi energy: 3.3 states/eV per cell

Lattice parameters (Å, degrees): 4.737 4.737 4.040 90.00 90.00 90.00
Positions (direct):
Co 0.000 0.500 0.000
Co 0.500 0.000 0.000
Te 0.000 0.000 0.000
Au 0.500 0.500 0.500
N 0.000 0.000 0.500


> Look up the DOS at the Fermi energy of the third one.

3.3 states/eV per cell


> Which value of DOS at the Fermi energy does entry 1 give?

10.7 states/eV per cell


> Among the records above, which one has the highest DOS at the Fermi energy?

Ce2HCl3